(1)
First-principles (GGA-PBE) data for a relaxed structure of Li2Be2Te3, as listed in the Alexandria database.

Cell: 7.076 10.223 10.223 Å, 79.68 69.12 69.12°
Fractional positions:
Li (0.934, 0.063, 0.231)
Li (0.434, 0.231, 0.063)
Li (0.750, 0.248, 0.752)
Li (0.750, 0.568, 0.432)
Li (0.250, 0.432, 0.568)
Li (0.250, 0.752, 0.248)
Li (0.566, 0.769, 0.937)
Li (0.066, 0.937, 0.769)
Be (0.629, 0.369, 0.209)
Be (0.605, 0.070, 0.550)
Be (0.129, 0.209, 0.369)
Be (0.105, 0.550, 0.070)
Be (0.895, 0.450, 0.930)
Be (0.871, 0.791, 0.631)
Be (0.395, 0.930, 0.450)
Be (0.371, 0.631, 0.791)
Te (0.728, 0.275, 0.430)
Te (0.714, 0.591, 0.145)
Te (0.228, 0.430, 0.275)
Te (0.214, 0.145, 0.591)
Te (0.843, 0.224, 0.005)
Te (0.157, 0.776, 0.995)
Te (0.786, 0.855, 0.409)
Te (0.772, 0.570, 0.725)
Te (0.343, 0.005, 0.224)
Te (0.286, 0.409, 0.855)
Te (0.272, 0.725, 0.570)
Te (0.657, 0.995, 0.776)

Its total energy is -3.5241 eV/atom. Its mass density is 4.27 Mg/m³. The calculation puts the formation energy from raw total energies at -54.6 kJ/mol of atoms. The volume is 644 Å³ per cell.

---

(2)
First-principles (GGA-PBE) data for a relaxed structure of CdOF, as listed in the Alexandria database.

Cell: 3.767 5.778 7.527 Å, 90.00 90.00 90.00°
Site moments in Bohr magnetons follow the coordinates.
Fractional positions:
Cd (0.250, 0.496, 0.132)  0.02
Cd (0.250, 0.504, 0.632)  0.02
Cd (0.750, 0.996, 0.368)  0.02
Cd (0.750, 0.004, 0.868)  0.02
O (0.250, 0.745, 0.895)  0.80
O (0.250, 0.255, 0.395)  0.80
O (0.750, 0.245, 0.605)  0.80
O (0.750, 0.755, 0.105)  0.80
F (0.749, 0.256, 0.129)  0.05
F (0.751, 0.744, 0.629)  0.05
F (0.251, 0.756, 0.371)  0.05
F (0.249, 0.244, 0.871)  0.05

Its total energy is -3.6748 eV/atom. Its mass density is 5.98 Mg/m³. The calculation puts the formation energy from raw total energies at -105.5 kJ/mol of atoms. The volume is 164 Å³ per cell.

---

(3)
First-principles (GGA-PBE) data for a relaxed structure of Sb2WAu, as listed in the Alexandria database.

Cell: 3.529 3.532 7.452 Å, 61.64 90.00 90.00°
Fractional positions:
Au (0.500, 0.750, 0.750)
Sb (0.000, 0.983, 0.018)
Sb (0.000, 0.517, 0.482)
W (0.500, 0.250, 0.250)

Its total energy is -5.7408 eV/atom. Its mass density is 12.68 Mg/m³. The calculation puts the formation energy from raw total energies at 36.5 kJ/mol of atoms. The volume is 82 Å³ per cell.

---

(4)
First-principles (GGA-PBE) data for a relaxed structure of SmSnRu, as listed in the Alexandria database.

Cell: 3.630 4.663 4.663 Å, 120.00 90.00 90.00°
Fractional positions:
Ru (0.167, 0.000, 0.000)
Sn (0.167, 0.667, 0.333)
Sm (0.666, 0.333, 0.667)

The calculated formation energy comes out at -0.349 eV/atom. Its total energy is -6.3481 eV/atom. Its mass density is 8.99 Mg/m³. The volume is 68 Å³ per cell.

---

What is the volume in the first record?
644 Å³ per cell

---

What is the formula in the second record?
CdOF

---

Copy entry 2 word for word.
First-principles (GGA-PBE) data for a relaxed structure of CdOF, as listed in the Alexandria database.

Cell: 3.767 5.778 7.527 Å, 90.00 90.00 90.00°
Site moments in Bohr magnetons follow the coordinates.
Fractional positions:
Cd (0.250, 0.496, 0.132)  0.02
Cd (0.250, 0.504, 0.632)  0.02
Cd (0.750, 0.996, 0.368)  0.02
Cd (0.750, 0.004, 0.868)  0.02
O (0.250, 0.745, 0.895)  0.80
O (0.250, 0.255, 0.395)  0.80
O (0.750, 0.245, 0.605)  0.80
O (0.750, 0.755, 0.105)  0.80
F (0.749, 0.256, 0.129)  0.05
F (0.751, 0.744, 0.629)  0.05
F (0.251, 0.756, 0.371)  0.05
F (0.249, 0.244, 0.871)  0.05

Its total energy is -3.6748 eV/atom. Its mass density is 5.98 Mg/m³. The calculation puts the formation energy from raw total energies at -105.5 kJ/mol of atoms. The volume is 164 Å³ per cell.

---

The highest mass density belongs to which entry?
Sb2WAu